(1)
Computed, not measured: a relaxed Pu2Ga9Pd3 crystal at the PBE-GGA level of DFT.

Cell: 7.6975 7.6975 10.6141 Å, 90.02 111.20 120.05°
With the nearest neighbours (Å) after each atom.
Fractional positions:
Ga  0.7797  0.3098  0.9197  3 Pd 2.66-2.70, 5 Ga 2.79-2.98
Ga  0.5555  0.3624  0.0787  3 Pd 2.65-2.69, 5 Ga 2.80-2.97
Ga  0.5429  0.0830  0.2510  2 Pd 2.59-2.60, 6 Ga 2.77-2.82
Ga  0.2162  0.5231  0.5787  3 Pd 2.65-2.68, 5 Ga 2.80-2.97
Ga  0.5492  0.1953  0.5739  3 Pd 2.63-2.68, 2 Ga 2.82-2.84
Ga  0.7838  0.4769  0.4213  3 Pd 2.65-2.68, 5 Ga 2.80-2.97
Ga  0.4508  0.8047  0.4261  3 Pd 2.63-2.68, 2 Ga 2.82-2.84
Ga  0.6680  0.7081  0.7510  2 Pd 2.59-2.60, 6 Ga 2.77-2.82
Ga  0.2203  0.6902  0.0803  3 Pd 2.66-2.70, 5 Ga 2.79-2.98
Ga  0.3320  0.2919  0.2490  2 Pd 2.59-2.60, 6 Ga 2.77-2.82
Ga  0.8741  0.1241  0.7500  2 Pd 2.59, 6 Ga 2.77-2.84
Ga  0.4445  0.6376  0.9213  3 Pd 2.65-2.69, 5 Ga 2.80-2.97
Ga  0.4571  0.9170  0.7490  2 Pd 2.59-2.60, 6 Ga 2.77-2.82
Ga  0.8901  0.8600  0.5803  3 Pd 2.66-2.70, 5 Ga 2.79-2.98
Ga  0.1099  0.1400  0.4197  3 Pd 2.66-2.70, 5 Ga 2.79-2.98
Ga  0.1214  0.9753  0.9261  3 Pd 2.63-2.68, 2 Ga 2.82-2.84
Ga  0.1259  0.8759  0.2500  2 Pd 2.59, 6 Ga 2.77-2.84
Ga  0.8786  0.0247  0.0739  3 Pd 2.63-2.68, 2 Ga 2.82-2.84
Pd  0.1665  0.8326  0.4995  8 Ga 2.59-2.70
Pd  0.8331  0.6670  0.0005  8 Ga 2.59-2.70
Pd  0.5000  0.5000  0.5000  8 Ga 2.60-2.69
Pd  0.8335  0.1674  0.5005  8 Ga 2.59-2.70
Pd  0.5000  0.0000  0.0000  8 Ga 2.60-2.69
Pd  0.1669  0.3330  0.9995  8 Ga 2.59-2.70
Pu  0.3328  0.2492  0.7494  11 Ga 3.03-3.18
Pu  0.6672  0.7508  0.2506  11 Ga 3.03-3.18
Pu  0.9998  0.5834  0.7506  11 Ga 3.03-3.18
Pu  0.0002  0.4166  0.2494  11 Ga 3.03-3.18

spin magnetization = 11.567 μB/f.u.
ΔE_f = -522 meV per atom

***

(2)
Computed, not measured: a relaxed TmZn2Ga3 crystal at the PBE-GGA level of DFT.

Cell: 5.1729 5.8504 8.0840 Å, 111.21 90.00 90.00°
With the nearest neighbours (Å) after each atom.
Fractional positions:
Tm  0.7500  0.3209  0.6418  8 Ga 2.94-3.02, 4 Zn 3.29
Tm  0.2500  0.6791  0.3582  8 Ga 2.94-3.02, 4 Zn 3.29
Ga  0.2500  0.1590  0.3181  2 Tm 2.94, 6 Ga 2.96-3.26, 4 Zn 3.14
Ga  0.7500  0.9053  0.2981  2 Zn 2.60, 1 Ga 2.85
Ga  0.2500  0.0947  0.7019  2 Zn 2.60, 1 Ga 2.85
Ga  0.7500  0.3929  0.2981  2 Zn 2.60, 1 Ga 2.85
Ga  0.7500  0.8410  0.6819  2 Tm 2.94, 6 Ga 2.96-3.26, 4 Zn 3.14
Ga  0.2500  0.6071  0.7019  2 Zn 2.60, 1 Ga 2.85
Zn  0.5000  0.7316  0.0000  3 Zn 2.59-2.71, 2 Ga 2.60
Zn  0.0000  0.2684  0.0000  3 Zn 2.59-2.71, 2 Ga 2.60
Zn  0.5000  0.2684  0.0000  3 Zn 2.59-2.71, 2 Ga 2.60
Zn  0.0000  0.7316  0.0000  3 Zn 2.59-2.71, 2 Ga 2.60

spin magnetization = 0.000 μB/f.u.
ΔE_f = -194 meV per atom

***

Q: Which electronic total energy values were calculated for the entries above? A: -157.6; -34.5, in eV per cell.
Q: Which volume values were calculated for the entries above? A: 17.66; 19.01, in A^3/atom.
Q: Which Fermi-level density of states values were calculated for the entries above? A: 1.7482; 0.4526, in states/eV per atom.